Entry 1:
Entry from the Alexandria database: an optimized crystal structure of Li2Be2Au (GGA-PBE).

Lattice parameters (Å, degrees): 6.0649 6.0649 3.6101 90.00 90.00 90.00
Closest atoms and distances in Å follow each position.
Space group P4/mbm (No. 127)
Symmetry-distinct sites (fractional):
Li: 0.1726 0.3274 0.0000 [4 per cell]  6 Be 2.49-2.58
Be: 0.1274 0.6274 0.5000 [4 per cell]  1 Be 2.19, 2 Au 2.39
Au: 0.0000 0.0000 0.5000 [2 per cell]  4 Be 2.39

Properties
Energy of formation from the pure elements, eV per atom: 0.021


Entry 2:
Entry from the Alexandria database: an optimized crystal structure of Rb3Nd3InTe8 (GGA-PBE).

Lattice parameters (Å, degrees): 15.6739 9.0310 10.3045 90.00 120.51 90.00
Closest atoms and distances in Å follow each position.
Space group C2/m (No. 12)
Symmetry-distinct sites (fractional):
Rb: 0.0000 0.0000 0.0000 [2 per cell]  6 Te 3.69-3.71
Rb: 0.2500 0.2500 0.0000 [4 per cell]  6 Te 3.69-3.71
Nd: 0.0000 0.5000 0.5000 [2 per cell]  6 Te 3.18-3.19
Nd: 0.2500 0.2500 0.5000 [4 per cell]  6 Te 3.18-3.19
In: 0.0000 0.0000 0.5000 [2 per cell]  6 Te 3.08-3.09
Te: 0.0145 0.2424 0.3011 [8 per cell]  1 In 3.09, 2 Nd 3.18-3.19
Te: 0.2274 0.0000 0.6985 [4 per cell]  1 In 3.08, 2 Nd 3.18
Te: 0.2355 0.5000 0.7064 [4 per cell]  3 Nd 3.19

Properties
Formation energy without anion corrections, eV per atom: -1.094


Entry 3:
Entry from the Alexandria database: an optimized crystal structure of TiCr2Cd2S6 (GGA-PBE).

Lattice parameters (Å, degrees): 6.0393 10.4736 6.9390 90.00 107.24 90.00
Closest atoms and distances in Å follow each position.
Space group C2/m (No. 12)
Symmetry-distinct sites (fractional):
Ti: 0.0000 0.0000 0.0000 [2 per cell]  6 S 2.47-2.48
Cr: 0.0000 0.3332 0.0000 [4 per cell]  6 S 2.39-2.45
Cd: 0.0000 0.1666 0.5000 [4 per cell]  6 S 2.75-2.81
S: 0.2359 0.5000 0.2123 [4 per cell]  2 Cr 2.45, 1 Ti 2.47
S: 0.2371 0.1723 0.2073 [8 per cell]  2 Cr 2.39-2.44, 1 Ti 2.48

Properties
Formation energy without anion corrections, eV per atom: -0.700


Entry 4:
Entry from the Alexandria database: an optimized crystal structure of NaBiCl2 (GGA-PBE).

Lattice parameters (Å, degrees): 7.7632 7.7632 7.2659 90.00 90.00 90.00
Closest atoms and distances in Å follow each position.
Space group I-42d (No. 122)
Symmetry-distinct sites (fractional):
Na: 0.0000 0.0000 0.0000 [4 per cell]  4 Cl 2.83
Bi: 0.0000 0.0000 0.5000 [4 per cell]  4 Cl 2.96
Cl: 0.2378 0.2500 0.1250 [8 per cell]  2 Na 2.83, 2 Bi 2.96

Properties
Formation energy without anion corrections, eV per atom: -0.743


Entry 5:
Entry from the Alexandria database: an optimized crystal structure of FeCuP2Ru (GGA-PBE).

Lattice parameters (Å, degrees): 4.1318 4.1318 4.4522 90.00 90.00 90.00
Closest atoms and distances in Å follow each position.
Space group P4/mmm (No. 123)
Symmetry-distinct sites (fractional):
Fe: 0.0000 0.0000 0.0000 [1 per cell]  4 P 2.07, 2 Cu 2.23
Cu: 0.0000 0.0000 0.5000 [1 per cell]  2 Fe 2.23
P: 0.0000 0.5000 0.0000 [2 per cell]  2 Fe 2.07
Ru: 0.5000 0.5000 0.5000 [1 per cell]  4 Cu 2.92, 8 P 3.04

Properties
Energy of formation from the pure elements, eV per atom: 0.799


Entry 6:
Entry from the Alexandria database: an optimized crystal structure of LiY2Ti (GGA-PBE).

Lattice parameters (Å, degrees): 3.2462 3.2462 34.4879 90.00 90.00 120.00
Closest atoms and distances in Å follow each position.
Space group R-3m (No. 166, hexagonal axes)
Symmetry-distinct sites (fractional):
Li: 0.0000 0.0000 0.0000 [3 per cell]  6 Li 3.25, 6 Y 3.38
Y: 0.0000 0.0000 0.4150 [6 per cell]  1 Ti 2.93, 6 Y 3.25
Ti: 0.0000 0.0000 0.5000 [3 per cell]  2 Y 2.93, 6 Ti 3.25

Properties
Energy of formation from the pure elements, eV per atom: 0.486


Entry 7:
Entry from the Alexandria database: an optimized crystal structure of Pu2TlP (GGA-PBE).

Lattice parameters (Å, degrees): 3.6560 3.6560 26.9280 90.00 90.00 120.00
Closest atoms and distances in Å follow each position.
Space group R3m (No. 160, hexagonal axes)
Symmetry-distinct sites (fractional):
Pu: 0.0000 0.0000 0.0000 [3 per cell]  3 P 2.75
Pu: 0.0000 0.0000 0.2026 [3 per cell]  3 P 2.75
Tl: 0.0000 0.0000 0.7671 [3 per cell]  6 Pu 3.43-3.47, 6 Tl 3.66
P: 0.0000 0.0000 0.6014 [3 per cell]  6 Pu 2.75

Properties
Energy of formation from the pure elements, eV per atom: -0.463


Entry 8:
Entry from the Alexandria database: an optimized crystal structure of RbNaPb2 (GGA-PBE).

Lattice parameters (Å, degrees): 8.2261 8.2261 8.2261 90.00 90.00 90.00
Closest atoms and distances in Å follow each position.
Space group Fm-3m (No. 225)
Symmetry-distinct sites (fractional):
Rb: 0.0000 0.0000 0.0000 [4 per cell]  8 Pb 3.56
Na: 0.0000 0.0000 0.5000 [4 per cell]  8 Pb 3.56
Pb: 0.2500 0.2500 0.2500 [8 per cell]  4 Na 3.56, 4 Rb 3.56

Properties
Energy of formation from the pure elements, eV per atom: 0.041


Entry 9:
Entry from the Alexandria database: an optimized crystal structure of Tb6Y3Er2Zr (GGA-PBE).

Lattice parameters (Å, degrees): 6.0994 10.5461 11.6523 90.00 99.95 90.00
Closest atoms and distances in Å follow each position.
Space group C2/m (No. 12)
Symmetry-distinct sites (fractional):
Tb: 0.2449 0.1636 0.2432 [8 per cell]  1 Zr 3.43, 6 Tb 3.45-3.56, 2 Er 3.46, 3 Y 3.57-3.60
Tb: 0.2457 0.0000 0.7574 [4 per cell]  1 Zr 3.42, 6 Tb 3.45-3.56, 2 Er 3.46, 3 Y 3.57-3.61
Y: 0.0000 0.1665 0.5000 [4 per cell]  6 Y 3.51-3.52, 6 Tb 3.57-3.60
Y: 0.0000 0.5000 0.5000 [2 per cell]  6 Y 3.52, 6 Tb 3.57-3.61
Er: 0.0000 0.3332 0.0000 [4 per cell]  6 Tb 3.46, 3 Zr 3.51-3.52, 3 Er 3.52
Zr: 0.0000 0.0000 0.0000 [2 per cell]  6 Tb 3.42-3.43, 6 Er 3.51-3.52

Properties
Energy of formation from the pure elements, eV per atom: 0.045


Entry 10:
Entry from the Alexandria database: an optimized crystal structure of NaCu2PtS (GGA-PBE).

Lattice parameters (Å, degrees): 4.7053 4.7053 5.1929 90.00 90.00 90.00
Closest atoms and distances in Å follow each position.
Space group P4/mmm (No. 123)
Symmetry-distinct sites (fractional):
Na: 0.0000 0.0000 0.0000 [1 per cell]  2 Pt 2.60
Cu: 0.0000 0.5000 0.5000 [2 per cell]  2 Pt 2.35
Pt: 0.0000 0.0000 0.5000 [1 per cell]  4 Cu 2.35, 2 Na 2.60
S: 0.5000 0.5000 0.0000 [1 per cell]  4 Na 3.33, 8 Cu 3.50

Properties
Formation energy without anion corrections, eV per atom: 0.704


Entry 11:
Entry from the Alexandria database: an optimized crystal structure of YZr2Zn (GGA-PBE).

Lattice parameters (Å, degrees): 7.1372 7.1372 7.1372 90.00 90.00 90.00
Closest atoms and distances in Å follow each position.
Space group F-43m (No. 216)
Symmetry-distinct sites (fractional):
Y: 0.0000 0.0000 0.0000 [4 per cell]  4 Zr 3.09, 4 Zn 3.09
Zr: 0.0000 0.0000 0.5000 [4 per cell]  4 Zr 3.09, 4 Zn 3.09
Zr: 0.2500 0.2500 0.2500 [4 per cell]  4 Zr 3.09, 4 Y 3.09
Zn: 0.2500 0.2500 0.7500 [4 per cell]  4 Zr 3.09, 4 Y 3.09

Properties
Energy of formation from the pure elements, eV per atom: 0.093


Entry 12:
Entry from the Alexandria database: an optimized crystal structure of Cs3Nd2TmO6 (GGA-PBE).

Lattice parameters (Å, degrees): 6.3019 10.9163 7.2337 90.00 106.85 90.00
Closest atoms and distances in Å follow each position.
Space group C2/m (No. 12)
Symmetry-distinct sites (fractional):
Cs: 0.0000 0.0000 0.0000 [2 per cell]  6 O 3.09-3.18
Cs: 0.0000 0.3343 0.0000 [4 per cell]  6 O 3.08-3.19
Nd: 0.0000 0.1667 0.5000 [4 per cell]  6 O 2.44
Tm: 0.0000 0.5000 0.5000 [2 per cell]  6 O 2.32
O: 0.2152 0.3405 0.6666 [8 per cell]  1 Tm 2.32, 2 Nd 2.44
O: 0.2365 0.0000 0.6675 [4 per cell]  1 Tm 2.32, 2 Nd 2.44

Properties
Formation energy without anion corrections, eV per atom: -2.551


Entry 13:
Entry from the Alexandria database: an optimized crystal structure of LaTb7Pr4 (GGA-PBE).

Lattice parameters (Å, degrees): 6.3463 7.3108 9.0358 89.93 76.48 89.99
Closest atoms and distances in Å follow each position.
Space group P-1 (No. 2)
Symmetry-distinct sites (fractional):
La: 0.0000 0.0000 0.0000 [1 per cell]  10 Tb 3.59-3.66, 2 Pr 3.61
Tb: 0.0000 0.5000 0.0000 [1 per cell]  4 Pr 3.59-3.62, 6 Tb 3.61-3.67, 2 La 3.66
Tb: 0.2219 0.9993 0.3325 [2 per cell]  6 Tb 3.59-3.66, 5 Pr 3.60-3.66, 1 La 3.60
Tb: 0.2775 0.2481 0.6677 [2 per cell]  5 Tb 3.59-3.66, 1 La 3.59, 6 Pr 3.61-3.68
Tb: 0.4995 0.2486 0.9989 [2 per cell]  3 Pr 3.59-3.63, 7 Tb 3.59-3.68, 2 La 3.65-3.66
Pr: 0.2228 0.4998 0.3310 [2 per cell]  8 Tb 3.59-3.67, 4 Pr 3.63-3.67
Pr: 0.2782 0.7515 0.6659 [2 per cell]  8 Tb 3.60-3.68, 1 La 3.61, 3 Pr 3.63-3.67

Properties
Energy of formation from the pure elements, eV per atom: 0.014


Entry 14:
Entry from the Alexandria database: an optimized crystal structure of Fe7Pd2Pt3 (GGA-PBE).

Lattice parameters (Å, degrees): 4.0882 22.4558 3.8813 90.00 90.00 90.00
Closest atoms and distances in Å follow each position.
Space group Cmmm (No. 65)
Symmetry-distinct sites (fractional):
Fe: 0.0000 0.0000 0.0000 [2 per cell]  8 Fe 2.57-2.64, 4 Pt 2.82
Fe: 0.0000 0.0750 0.5000 [4 per cell]  6 Fe 2.57-2.82, 2 Pd 2.64, 4 Pt 2.65-2.68
Fe: 0.0000 0.2747 0.0000 [4 per cell]  2 Fe 2.33, 2 Pt 2.54, 2 Pd 2.58
Fe: 0.0000 0.4255 0.0000 [4 per cell]  4 Pt 2.56-2.61, 6 Fe 2.64-2.82, 2 Pd 2.73
Pd: 0.0000 0.1549 0.0000 [4 per cell]  7 Fe 2.58-2.73, 4 Pt 2.82
Pt: 0.0000 0.3479 0.5000 [4 per cell]  6 Fe 2.54-2.68, 4 Pd 2.82
Pt: 0.0000 0.5000 0.5000 [2 per cell]  12 Fe 2.56-2.82

Properties
Energy of formation from the pure elements, eV per atom: 0.104


Entry 15:
Entry from the Alexandria database: an optimized crystal structure of KTl2SeS (GGA-PBE).

Lattice parameters (Å, degrees): 5.3872 5.3872 6.7514 90.00 90.00 90.00
Closest atoms and distances in Å follow each position.
Space group P4mm (No. 99)
Symmetry-distinct sites (fractional):
K: 0.0000 0.0000 0.0000 [1 per cell]  1 S 3.09
Tl: 0.0000 0.5000 0.3986 [2 per cell]  2 S 2.86, 2 Se 3.09
Se: 0.5000 0.5000 0.1757 [1 per cell]  4 Tl 3.09
S: 0.0000 0.0000 0.5426 [1 per cell]  4 Tl 2.86, 1 K 3.09

Properties
Formation energy without anion corrections, eV per atom: -0.460


Entry 16:
Entry from the Alexandria database: an optimized crystal structure of Pm3In4Ge3 (GGA-PBE).

Lattice parameters (Å, degrees): 10.0497 10.0497 10.0497 90.00 90.00 90.00
Closest atoms and distances in Å follow each position.
Space group I-43d (No. 220)
Symmetry-distinct sites (fractional):
Pm: 0.0000 0.2500 0.8750 [12 per cell]  4 Ge 3.08, 4 In 3.34
In: 0.0968 0.4032 0.5968 [16 per cell]  3 Ge 2.88
Ge: 0.0000 0.2500 0.3750 [12 per cell]  4 In 2.88, 4 Pm 3.08

Properties
Energy of formation from the pure elements, eV per atom: -0.473


Entry 17:
Entry from the Alexandria database: an optimized crystal structure of Tc2SbW (GGA-PBE).

Lattice parameters (Å, degrees): 3.1643 4.3148 4.8216 90.00 90.00 90.00
Closest atoms and distances in Å follow each position.
Space group Pmmm (No. 47)
Symmetry-distinct sites (fractional):
Tc: 0.0000 0.0000 0.0000 [1 per cell]  4 W 2.68, 4 Tc 2.88
Tc: 0.5000 0.0000 0.5000 [1 per cell]  4 Sb 2.68, 4 Tc 2.88
Sb: 0.0000 0.5000 0.5000 [1 per cell]  4 Tc 2.68, 4 W 2.88
W: 0.5000 0.5000 0.0000 [1 per cell]  4 Tc 2.68, 4 Sb 2.88

Properties
Formation energy without anion corrections, eV per atom: 0.412


Entry 18:
Entry from the Alexandria database: an optimized crystal structure of SmYTm2Th (GGA-PBE).

Lattice parameters (Å, degrees): 8.2739 6.0467 6.9385 90.00 97.77 90.00
Closest atoms and distances in Å follow each position.
Space group P2/c (No. 13)
Symmetry-distinct sites (fractional):
Sm: 0.0000 0.0000 0.0000 [2 per cell]  4 Th 3.35-3.62, 2 Sm 3.47, 2 Tm 3.75
Y: 0.5000 0.0800 0.2500 [2 per cell]  6 Tm 3.46-3.50, 2 Y 3.60
Tm: 0.3332 0.4236 0.5739 [4 per cell]  4 Tm 3.21-3.59, 2 Th 3.22-3.33, 3 Y 3.46-3.50
Th: 0.0000 0.4742 0.2500 [2 per cell]  4 Tm 3.22-3.33, 2 Sm 3.35, 2 Th 3.48

Properties
Energy of formation from the pure elements, eV per atom: 0.353


Entry 19:
Entry from the Alexandria database: an optimized crystal structure of Cs6PtI2 (GGA-PBE).

Lattice parameters (Å, degrees): 9.2737 9.6893 15.4824 90.00 118.11 90.00
Closest atoms and distances in Å follow each position.
Space group P2_1/c (No. 14)
Symmetry-distinct sites (fractional):
Cs: 0.0616 0.0723 0.2260 [4 per cell]  1 Pt 3.34
Cs: 0.2465 0.7111 0.0862 [4 per cell]  1 Pt 3.46
Cs: 0.3414 0.1854 0.0516 [4 per cell]  1 Pt 3.39
Pt: 0.0000 0.0000 0.0000 [2 per cell]  6 Cs 3.34-3.46
I: 0.3353 0.0944 0.7843 [4 per cell]  7 Cs 3.91-4.21

Properties
Formation energy without anion corrections, eV per atom: -0.671


Entry 20:
Entry from the Alexandria database: an optimized crystal structure of PmDyRh (GGA-PBE).

Lattice parameters (Å, degrees): 4.5450 4.5450 4.3062 90.00 90.00 120.00
Closest atoms and distances in Å follow each position.
Space group P3m1 (No. 156)
Symmetry-distinct sites (fractional):
Pm: 0.0000 0.0000 0.0000 [1 per cell]  3 Rh 2.92
Dy: 0.6667 0.3333 0.5279 [1 per cell]  3 Rh 2.81
Rh: 0.3333 0.6667 0.2965 [1 per cell]  3 Dy 2.81, 3 Pm 2.92

Properties
Energy of formation from the pure elements, eV per atom: -0.387


| no. | magnetization (μB per atom) |
| --- | --- |
| 1 | 0.0000 |
| 2 | 0.0000 |
| 3 | 0.4530 |
| 4 | 0.0000 |
| 5 | 0.1253 |
| 6 | 0.4449 |
| 7 | 0.0146 |
| 8 | 0.0000 |
| 9 | 0.0000 |
| 10 | 0.1217 |
| 11 | 0.3683 |
| 12 | 0.0000 |
| 13 | 0.0000 |
| 14 | 1.8926 |
| 15 | 0.0000 |
| 16 | 0.0000 |
| 17 | 0.0002 |
| 18 | 0.0000 |
| 19 | 0.0001 |
| 20 | 0.0000 |